1.
First-principles (PBEsol) data for an optimized crystal structure of ScFeAg4, as listed in Alexandria via LeMat-Bulk.

Calculated values
The electronic total energy comes out at -109.0 eV per cell. The crystal system is cubic.

Cell lengths 7.501, 7.501, 7.501 Å; angles 90.00, 90.00, 90.00 degrees
Space group F-43m (No. 216)
Unique sites:
Sc: 0.000 0.000 0.000
Fe: 0.250 0.250 0.250
Ag: 0.125 0.125 0.625

***

2.
First-principles (PBEsol) data for an optimized crystal structure of MgInAu2, as listed in Alexandria via LeMat-Bulk.

Calculated values
The electronic total energy comes out at -28.1 eV per cell. The crystal system is orthorhombic.

Cell lengths 6.303, 6.612, 3.530 Å; angles 90.00, 90.00, 90.00 degrees
Space group Cmmm (No. 65)
Unique sites:
Mg: 0.000 0.000 0.000
In: 0.000 0.500 0.000
Au: 0.250 0.250 0.500

***

3.
First-principles (PBEsol) data for an optimized crystal structure of LaCoSi3, as listed in Alexandria via LeMat-Bulk.

Calculated values
The electronic total energy comes out at -31.4 eV per cell. The crystal system is cubic. Its formation energy without anion corrections is -0.209 eV per atom.

Cell lengths 4.453, 4.453, 4.453 Å; angles 90.00, 90.00, 90.00 degrees
Space group Pm-3m (No. 221)
Unique sites:
La: 0.000 0.000 0.000
Co: 0.500 0.500 0.500
Si: 0.000 0.500 0.500

***

4.
First-principles (PBEsol) data for an optimized crystal structure of ZrNbB2Rh, as listed in Alexandria via LeMat-Bulk.

Calculated values
The electronic total energy comes out at -38.2 eV per cell. The crystal system is tetragonal.

Cell lengths 4.039, 4.039, 4.848 Å; angles 90.00, 90.00, 90.00 degrees
Space group P4/mmm (No. 123)
Unique sites:
Zr: 0.000 0.000 0.000
Nb: 0.500 0.500 0.000
B: 0.000 0.500 0.500
Rh: 0.500 0.500 0.500

***

5.
First-principles (PBEsol) data for an optimized crystal structure of ZrZnFe, as listed in Alexandria via LeMat-Bulk.

Calculated values
The electronic total energy comes out at -73.5 eV per cell. The crystal system is cubic.

Cell lengths 5.936, 5.936, 5.936 Å; angles 90.00, 90.00, 90.00 degrees
Space group F-43m (No. 216)
Unique sites:
Zr: 0.000 0.000 0.000
Zn: 0.250 0.250 0.750
Fe: 0.000 0.000 0.500

***

6.
First-principles (PBEsol) data for an optimized crystal structure of BaNaIn2P3O12, as listed in Alexandria via LeMat-Bulk.

Calculated values
The electronic total energy comes out at -531.6 eV per cell. The crystal system is cubic. Its formation energy without anion corrections is -2.265 eV per atom.

Cell lengths 10.167, 10.167, 10.167 Å; angles 90.00, 90.00, 90.00 degrees
Space group P2_13 (No. 198)
Unique sites:
Ba: 0.194 0.306 0.694
Na: 0.078 0.078 0.078
In: 0.089 0.911 0.411
In: 0.171 0.671 0.829
P: 0.012 0.224 0.374
O: 0.012 0.087 0.723
O: 0.019 0.085 0.311
O: 0.046 0.822 0.225
O: 0.077 0.850 0.766

***

7.
First-principles (PBEsol) data for an optimized crystal structure of ScTlTe, as listed in Alexandria via LeMat-Bulk.

Calculated values
The electronic total energy comes out at -29.0 eV per cell. The crystal system is tetragonal. Its formation energy without anion corrections is -0.578 eV per atom.

Cell lengths 3.711, 3.711, 10.997 Å; angles 90.00, 90.00, 90.00 degrees
Space group I4mm (No. 107)
Unique sites:
Sc: 0.000 0.000 0.000
Tl: 0.000 0.000 0.679
Te: 0.000 0.000 0.386

***

8.
First-principles (PBEsol) data for an optimized crystal structure of HfScHg2Rh, as listed in Alexandria via LeMat-Bulk.

Calculated values
The electronic total energy comes out at -24.4 eV per cell. The crystal system is tetragonal.

Cell lengths 5.084, 5.084, 4.505 Å; angles 90.00, 90.00, 90.00 degrees
Space group P4/mmm (No. 123)
Unique sites:
Hf: 0.000 0.000 0.000
Sc: 0.500 0.500 0.000
Hg: 0.000 0.500 0.500
Rh: 0.500 0.500 0.500

***

- The highest electronic total energy belongs to which entry?
  HfScHg2Rh

***

- Which of these has the highest electronic total energy?
  HfScHg2Rh

***

- Which of these has the lowest electronic total energy?
  BaNaIn2P3O12

***

Copy entry 7 word for word.
First-principles (PBEsol) data for an optimized crystal structure of ScTlTe, as listed in Alexandria via LeMat-Bulk.

Calculated values
The electronic total energy comes out at -29.0 eV per cell. The crystal system is tetragonal. Its formation energy without anion corrections is -0.578 eV per atom.

Cell lengths 3.711, 3.711, 10.997 Å; angles 90.00, 90.00, 90.00 degrees
Space group I4mm (No. 107)
Unique sites:
Sc: 0.000 0.000 0.000
Tl: 0.000 0.000 0.679
Te: 0.000 0.000 0.386